Here is a relaxed structure of VNiF5 from Alexandria. Energies are from PBE+U.

Values from the calculation:
- E_tot: -5.20 eV per atom
- Calculated volume: 194.22 Å³/cell
- Spin magnetization: 8.00 μB per cell

Geometry as POSCAR:
```
VNiF5
1.0
2.826 -5.277 0.000
2.826 5.277 0.000
-2.128 0.000 6.512
V Ni F
2 2 10
direct
0.010 0.990 0.750
0.990 0.010 0.250
0.000 0.500 0.500
0.500 0.000 0.000
0.110 0.877 0.039
0.123 0.890 0.461
0.218 0.404 0.347
0.309 0.691 0.750
0.404 0.218 0.847
0.596 0.782 0.153
0.691 0.309 0.250
0.782 0.596 0.653
0.877 0.110 0.539
0.890 0.123 0.961
```